(1)
! Tb6Dy2Y3Th, relaxed, DFT PBE; values from VASP
&SYSTEM
  ibrav = 0, nat = 12, ntyp = 4
/
ATOMIC_SPECIES
Dy 162.50 Dy.upf
Tb 158.93 Tb.upf
Y 88.91 Y.upf
Th 232.04 Th.upf
CELL_PARAMETERS angstrom
-4.6649 -4.0340 -0.1810
5.1985 -1.4351 2.9972
-4.5394 6.4234 8.8352
ATOMIC_POSITIONS crystal
Dy 0.3333 0.6667 0.0000
Dy 0.6667 0.3333 0.0000
Tb 0.4138 0.0836 0.2485
Tb 0.2464 0.2464 0.7515
Tb 0.5862 0.9164 0.7515
Tb 0.0836 0.4138 0.2485
Tb 0.7536 0.7536 0.2485
Tb 0.9164 0.5862 0.7515
Y 0.8327 0.1673 0.5000
Y 0.5000 0.5000 0.5000
Y 0.1673 0.8327 0.5000
Th 0.0000 0.0000 0.0000
! Uncorrected energy: -5.2915 eV per atom
! SG: No. 12
! Fermi-level density of states: 16.08 states/eV per cell

=====

(2)
! Sc2FeBi, relaxed, DFT PBE; values from VASP
&SYSTEM
  ibrav = 0, nat = 8, ntyp = 3
/
ATOMIC_SPECIES
Bi 208.98 Bi.upf
Sc 44.96 Sc.upf
Fe 55.84 Fe.upf
CELL_PARAMETERS angstrom
7.5473 0.0000 0.0000
0.0000 7.5473 0.0000
3.7736 3.7736 2.9909
ATOMIC_POSITIONS crystal
Bi 0.7500 0.2500 0.5000
Bi 0.0000 0.0000 0.0000
Sc 0.3750 0.4463 0.7500
Sc 0.1963 0.6250 0.2500
Sc 0.5537 0.1250 0.2500
Sc 0.8750 0.8037 0.7500
Fe 0.5000 0.5000 0.0000
Fe 0.2500 0.7500 0.5000
! SG: No. 122
! Energy above the most stable polymorph in this dataset: 249 meV/atom
! Fermi-level density of states: 14.09 states/eV per cell

=====

(3)
! RhSe, relaxed, DFT PBE; values from VASP
&SYSTEM
  ibrav = 0, nat = 16, ntyp = 2
/
ATOMIC_SPECIES
Rh 102.91 Rh.upf
Se 78.96 Se.upf
CELL_PARAMETERS angstrom
7.5070 0.0000 0.0000
0.0000 7.5070 0.0000
0.0000 0.0000 7.5070
ATOMIC_POSITIONS crystal
Rh 0.1360 0.1360 0.8640
Rh 0.6360 0.6360 0.3640
Rh 0.3640 0.3640 0.3640
Rh 0.1360 0.8640 0.1360
Rh 0.6360 0.3640 0.6360
Rh 0.8640 0.8640 0.8640
Rh 0.8640 0.1360 0.1360
Rh 0.3640 0.6360 0.6360
Se 0.8155 0.8155 0.1845
Se 0.1845 0.8155 0.8155
Se 0.8155 0.1845 0.8155
Se 0.3155 0.3155 0.6845
Se 0.3155 0.6845 0.3155
Se 0.6845 0.3155 0.3155
Se 0.1845 0.1845 0.1845
Se 0.6845 0.6845 0.6845
! Uncorrected energy: -5.5259 eV per atom
! SG: No. 217
! Fermi-level density of states: 15.93 states/eV per cell

=====

(4)
! Y2TlTc2, relaxed, DFT PBE; values from VASP
&SYSTEM
  ibrav = 0, nat = 10, ntyp = 3
/
ATOMIC_SPECIES
Y 88.91 Y.upf
Tc 98.00 Tc.upf
Tl 204.38 Tl.upf
CELL_PARAMETERS angstrom
-4.2608 -5.4154 4.5072
6.9343 -2.2900 3.8037
-0.5144 2.3756 2.3680
ATOMIC_POSITIONS crystal
Y 0.6460 0.1460 0.0000
Y 0.1460 0.3540 0.0000
Y 0.8540 0.6460 0.0000
Y 0.3540 0.8540 0.0000
Tc 0.8524 0.3524 0.5000
Tc 0.6476 0.8524 0.5000
Tc 0.3524 0.1476 0.5000
Tc 0.1476 0.6476 0.5000
Tl 0.0000 0.0000 0.0000
Tl 0.5000 0.5000 0.0000
! SG: No. 127
! Energy above the most stable polymorph in this dataset: 579 meV/atom
! Fermi-level density of states: 9.54 states/eV per cell

=====

(5)
! ErTmGa, relaxed, DFT PBE; values from VASP
&SYSTEM
  ibrav = 0, nat = 3, ntyp = 3
/
ATOMIC_SPECIES
Er 167.26 Er.upf
Tm 168.93 Tm.upf
Ga 69.72 Ga.upf
CELL_PARAMETERS angstrom
-1.6333 -2.6983 -1.7142
0.2965 -2.7631 4.0670
-3.9383 2.8615 -0.7518
ATOMIC_POSITIONS crystal
Er 0.9383 0.0000 0.0000
Tm 0.4049 0.3333 0.6667
Ga 0.6569 0.6667 0.3333
! SG: No. 156
! Energy above the most stable polymorph in this dataset: 118 meV/atom
! Fermi-level density of states: 2.18 states/eV per cell

=====

(6)
! SrLaBe2Re, relaxed, DFT PBE; values from VASP
&SYSTEM
  ibrav = 0, nat = 5, ntyp = 4
/
ATOMIC_SPECIES
Be 9.01 Be.upf
La 138.91 La.upf
Re 186.21 Re.upf
Sr 87.62 Sr.upf
CELL_PARAMETERS angstrom
4.7837 0.0000 0.0000
0.0000 5.0706 0.0000
0.0000 0.0000 4.7837
ATOMIC_POSITIONS crystal
Be 0.5000 0.0000 0.0000
Be 0.0000 0.0000 0.5000
La 0.0000 0.5000 0.0000
Re 0.0000 0.0000 0.0000
Sr 0.5000 0.5000 0.5000
! Uncorrected energy: -4.7934 eV per atom
! SG: No. 123
! Fermi-level density of states: 3.43 states/eV per cell

=====

(7)
! PrYH, relaxed, DFT PBE; values from VASP
&SYSTEM
  ibrav = 0, nat = 6, ntyp = 3
/
ATOMIC_SPECIES
Y 88.91 Y.upf
H 1.01 H.upf
Pr 140.91 Pr.upf
CELL_PARAMETERS angstrom
-1.9336 1.1361 2.7160
-5.0586 -4.7709 0.6782
0.5497 -4.9266 4.7362
ATOMIC_POSITIONS crystal
Y 0.2527 0.7327 0.7619
Y 0.7473 0.2673 0.2381
H 0.3404 0.3532 0.9660
H 0.6596 0.6468 0.0340
Pr 0.0013 0.7248 0.2726
Pr 0.9987 0.2752 0.7274
! SG: No. 12
! Energy above the most stable polymorph in this dataset: 33 meV/atom
! Fermi-level density of states: 4.97 states/eV per cell

=====

(8)
! Ba5Cd4Ga, relaxed, DFT PBE; values from VASP
&SYSTEM
  ibrav = 0, nat = 10, ntyp = 3
/
ATOMIC_SPECIES
Ba 137.33 Ba.upf
Ga 69.72 Ga.upf
Cd 112.41 Cd.upf
CELL_PARAMETERS angstrom
-2.3146 3.1895 1.4923
-3.4898 -2.3161 -0.4628
2.3688 -7.5112 19.7283
ATOMIC_POSITIONS crystal
Ba 0.5000 0.5000 0.9067
Ba 0.5000 0.5000 0.5000
Ba 0.5000 0.5000 0.7027
Ba 0.5000 0.5000 0.2973
Ba 0.5000 0.5000 0.0933
Ga 0.0000 0.0000 0.0000
Cd 0.0000 0.0000 0.6004
Cd 0.0000 0.0000 0.1956
Cd 0.0000 0.0000 0.3996
Cd 0.0000 0.0000 0.8044
! Uncorrected energy: -1.9520 eV per atom
! SG: No. 123
! Fermi-level density of states: 5.42 states/eV per cell

=====

(9)
! Cu2WBr, relaxed, DFT PBE; values from VASP
&SYSTEM
  ibrav = 0, nat = 4, ntyp = 3
/
ATOMIC_SPECIES
Br 79.90 Br.upf
Cu 63.55 Cu.upf
W 183.84 W.upf
CELL_PARAMETERS angstrom
2.8655 0.0288 0.0000
-1.2144 2.5956 0.0000
0.0000 0.0000 9.0162
ATOMIC_POSITIONS crystal
Br 0.5000 0.5000 0.7257
Cu 0.0000 0.0000 0.0407
Cu 0.5000 0.5000 0.2498
W 0.0000 0.0000 0.4837
! SG: No. 35
! Energy above the most stable polymorph in this dataset: 207 meV/atom
! Fermi-level density of states: 2.32 states/eV per cell

=====

(10)
! Pm2Y6TmSc3, relaxed, DFT PBE; values from VASP
&SYSTEM
  ibrav = 0, nat = 12, ntyp = 4
/
ATOMIC_SPECIES
Tm 168.93 Tm.upf
Sc 44.96 Sc.upf
Y 88.91 Y.upf
Pm 145.00 Pm.upf
CELL_PARAMETERS angstrom
-5.1672 -1.0587 -3.0397
2.5797 -4.4481 3.2588
-5.1484 5.0215 9.0346
ATOMIC_POSITIONS crystal
Tm 0.0000 0.0000 0.0000
Sc 0.1663 0.8337 0.5000
Sc 0.8337 0.1663 0.5000
Sc 0.5000 0.5000 0.5000
Y 0.5804 0.9132 0.7397
Y 0.9132 0.5804 0.7397
Y 0.2458 0.2458 0.7397
Y 0.4196 0.0868 0.2603
Y 0.7542 0.7542 0.2603
Y 0.0868 0.4196 0.2603
Pm 0.3333 0.6667 0.0000
Pm 0.6667 0.3333 0.0000
! Uncorrected energy: -5.9279 eV per atom
! SG: No. 12
! Fermi-level density of states: 18.99 states/eV per cell

=====

(11)
! Ba2NbPt, relaxed, DFT PBE; values from VASP
&SYSTEM
  ibrav = 0, nat = 4, ntyp = 3
/
ATOMIC_SPECIES
Nb 92.91 Nb.upf
Ba 137.33 Ba.upf
Pt 195.08 Pt.upf
CELL_PARAMETERS angstrom
0.0000 4.0099 4.0099
4.0099 0.0000 4.0099
4.0099 4.0099 0.0000
ATOMIC_POSITIONS crystal
Nb 0.0000 0.0000 0.0000
Ba 0.7500 0.7500 0.7500
Ba 0.2500 0.2500 0.2500
Pt 0.5000 0.5000 0.5000
! SG: No. 225
! Energy above the most stable polymorph in this dataset: 251 meV/atom
! Fermi-level density of states: 1.63 states/eV per cell

=====

(12)
! RbHfGaPt2, relaxed, DFT PBE; values from VASP
&SYSTEM
  ibrav = 0, nat = 5, ntyp = 4
/
ATOMIC_SPECIES
Hf 178.49 Hf.upf
Rb 85.47 Rb.upf
Pt 195.08 Pt.upf
Ga 69.72 Ga.upf
CELL_PARAMETERS angstrom
5.1288 0.0000 0.0000
0.0000 5.1288 0.0000
0.0000 0.0000 5.0064
ATOMIC_POSITIONS crystal
Hf 0.5000 0.5000 0.5000
Rb 0.0000 0.0000 0.0000
Pt 0.0000 0.5000 0.0000
Pt 0.5000 0.0000 0.0000
Ga 0.0000 0.0000 0.5000
! Uncorrected energy: -3.3998 eV per atom
! SG: No. 123
! Fermi-level density of states: 5.28 states/eV per cell